[1]
A geometry-optimized Cs2NaSbF structure. Source: the Alexandria database, functional PBE.

Output
**Density**: 3.88 g/cm3

a = 6.4384 Å, b = 6.4384 Å, c = 4.4406 Å
α = 90.00°, β = 90.00°, γ = 90.00°
Atoms (fractional coordinates):
Cs (0.0000, 0.5000, 0.0000)
Cs (0.5000, 0.0000, 0.0000)
Na (0.0000, 0.0000, 0.5000)
Sb (0.5000, 0.5000, 0.5000)
F (0.0000, 0.0000, 0.0000)

[2]
A geometry-optimized CsNaSbF6 structure. Source: the Alexandria database, functional PBE.

Output
**Density**: 3.31 g/cm3

a = 6.0264 Å, b = 6.0264 Å, c = 6.2595 Å
α = 90.06°, β = 90.06°, γ = 120.14°
Atoms (fractional coordinates):
Cs (0.0000, 0.0000, 0.0000)
Na (0.6663, 0.3337, 0.5000)
Sb (0.3334, 0.6666, 0.5000)
F (0.0352, 0.4002, 0.3141)
F (0.0369, 0.6357, 0.6862)
F (0.3643, 0.9631, 0.3138)
F (0.3655, 0.4021, 0.6867)
F (0.5979, 0.6345, 0.3133)
F (0.5998, 0.9648, 0.6859)

no.,DOS(E_F) (states/eV/f.u.),M_tot (μB per atom),raw formation energy (eV per formula unit)
1,3.19,0.000,-5.731
2,2.33,0.106,-23.082